A PBEsol-optimized structure of Rb2SrP2O7. Source: the Alexandria database, functional meta-GGA SCAN.

M_tot	0.000	Bohr magnetons per cell
calculated volume	16.11	A^3/atom
formation energy from raw total energies	-2.7779	eV per atom

a b c (Å): 5.8607 5.9020 13.2529
angles (deg): 79.36 77.23 60.23
Sites, in units of the cell vectors:
Sr  0.5000  0.0000  0.5000
Sr  0.0000  0.5000  0.0000
O  0.1550  0.7500  0.2500
O  0.0160  0.2191  0.5629
O  0.1884  0.1120  0.1249
O  0.8450  0.2500  0.7500
O  0.8116  0.8880  0.8751
O  0.3992  0.8363  0.3646
O  0.6008  0.1637  0.6354
O  0.3999  0.3363  0.8646
O  0.7980  0.2809  0.9371
O  0.5746  0.6120  0.6249
O  0.9840  0.7809  0.4371
O  0.2020  0.7191  0.0629
O  0.4254  0.3880  0.3751
O  0.6001  0.6637  0.1354
Rb  0.0683  0.6331  0.6658
Rb  0.9317  0.3669  0.3342
Rb  0.6328  0.1331  0.1658
Rb  0.3672  0.8669  0.8342
P  0.2488  0.6861  0.3648
P  0.2997  0.8139  0.1352
P  0.7512  0.3139  0.6352
P  0.7003  0.1861  0.8648

***

A PBEsol-optimized structure of Rb2Ta2P7O24. Source: the Alexandria database, functional meta-GGA SCAN.

M_tot	2.372	Bohr magnetons per cell
calculated volume	14.96	A^3/atom
formation energy from raw total energies	-2.4993	eV per atom

a b c (Å): 5.2158 10.8556 18.6025
angles (deg): 90.00 90.00 96.16
Last column: magnetic moment on the atom in μB.
Sites, in units of the cell vectors:
O  0.9137  0.5782  0.3159  0.01
O  0.1936  0.7482  0.2500  0.44
O  0.4771  0.8847  0.0920  0.01
O  0.0024  0.1376  0.9154  0.01
O  0.9218  0.7240  0.5421  0.01
O  0.1913  0.7497  0.8426  0.02
O  0.6582  0.6482  0.0811  0.00
O  0.0024  0.1376  0.5846  0.01
O  0.8087  0.2503  0.1574  0.02
O  0.8087  0.2503  0.3426  0.02
O  0.0782  0.2760  0.4579  0.01
O  0.7230  0.7568  0.2500  0.33
O  0.2507  0.0461  0.4687  0.02
O  0.9976  0.8624  0.0846  0.01
O  0.1606  0.5522  0.9218  0.00
O  0.6582  0.6482  0.4189  0.00
O  0.9137  0.5782  0.1841  0.01
O  0.0863  0.4218  0.8159  0.01
O  0.7493  0.9539  0.9687  0.02
O  0.6014  0.2531  0.0328  0.00
O  0.2770  0.2432  0.7500  0.33
O  0.9976  0.8624  0.4154  0.01
O  0.2272  0.0269  0.1674  0.07
O  0.0782  0.2760  0.0421  0.01
O  0.1913  0.7497  0.6574  0.02
O  0.3986  0.7469  0.5328  0.00
O  0.7728  0.9731  0.6674  0.07
O  0.3986  0.7469  0.9672  0.00
O  0.3418  0.3518  0.5811  0.00
O  0.9218  0.7240  0.9579  0.01
O  0.5229  0.1153  0.9080  0.01
O  0.8394  0.4478  0.0782  0.00
O  0.4512  0.4730  0.1613  0.01
O  0.3418  0.3518  0.9189  0.00
O  0.5488  0.5270  0.6613  0.01
O  0.1606  0.5522  0.5782  0.00
O  0.5488  0.5270  0.8387  0.01
O  0.5229  0.1153  0.5920  0.01
O  0.7728  0.9731  0.8326  0.07
O  0.4771  0.8847  0.4080  0.01
O  0.4512  0.4730  0.3387  0.01
O  0.8394  0.4478  0.4218  0.00
O  0.2272  0.0269  0.3326  0.07
O  0.8064  0.2518  0.7500  0.44
O  0.7493  0.9539  0.5313  0.02
O  0.0863  0.4218  0.6841  0.01
O  0.6014  0.2531  0.4672  0.00
O  0.2507  0.0461  0.0313  0.02
P  0.9338  0.6725  0.2500  -0.03
P  0.6868  0.5343  0.3716  0.00
P  0.1700  0.7016  0.5829  0.00
P  0.6868  0.5343  0.1284  0.00
P  0.0662  0.3275  0.7500  -0.03
P  0.8300  0.2984  0.0829  0.00
P  0.7626  0.0413  0.5983  0.00
P  0.3132  0.4657  0.6284  0.00
P  0.1700  0.7016  0.9171  0.00
P  0.3132  0.4657  0.8716  0.00
P  0.7626  0.0413  0.9017  0.00
P  0.2374  0.9587  0.4017  0.00
P  0.8300  0.2984  0.4171  0.00
P  0.2374  0.9587  0.0983  0.00
Ta  0.6990  0.8030  0.0257  0.00
Ta  0.3010  0.1970  0.5257  0.00
Ta  0.6990  0.8030  0.4743  0.00
Ta  0.3010  0.1970  0.9743  0.00
Rb  0.2901  0.2713  0.2500  0.00
Rb  0.7099  0.7287  0.7500  0.00
Rb  0.2761  0.9869  0.7500  0.00
Rb  0.7239  0.0131  0.2500  0.00

***

A PBEsol-optimized structure of RbTbP4O12. Source: the Alexandria database, functional meta-GGA SCAN.

M_tot	0.000	Bohr magnetons per cell
calculated volume	13.41	A^3/atom
formation energy from raw total energies	-2.7385	eV per atom

a b c (Å): 8.9030 10.3101 10.9607
angles (deg): 106.32 90.00 90.00
Sites, in units of the cell vectors:
O  0.2909  0.9756  0.7546
O  0.9134  0.1450  0.7163
O  0.8221  0.7666  0.7424
O  0.4509  0.8287  0.5959
O  0.3339  0.3172  0.5183
O  0.8428  0.8122  0.1578
O  0.4522  0.1373  0.6008
O  0.5938  0.1691  0.8043
O  0.3221  0.7334  0.7576
O  0.1779  0.2334  0.2576
O  0.5491  0.1713  0.4041
O  0.5478  0.8627  0.3992
O  0.6661  0.6828  0.4817
O  0.0938  0.3309  0.6957
O  0.0278  0.9624  0.8316
O  0.9509  0.6713  0.9041
O  0.7909  0.5244  0.7454
O  0.7582  0.9368  0.0065
O  0.2418  0.0632  0.9935
O  0.1661  0.8172  0.0183
O  0.9522  0.3627  0.8992
O  0.0414  0.6000  0.6748
O  0.2881  0.0661  0.4029
O  0.5866  0.6450  0.2163
O  0.4722  0.4624  0.3316
O  0.9586  0.4000  0.3252
O  0.7418  0.4368  0.5065
O  0.4134  0.3550  0.7837
O  0.4062  0.8309  0.1957
O  0.5414  0.9000  0.8252
O  0.2119  0.5661  0.9029
O  0.8339  0.1828  0.9817
O  0.0478  0.6373  0.1008
O  0.0491  0.3287  0.0959
O  0.1572  0.1878  0.8422
O  0.7091  0.0244  0.2454
O  0.6779  0.2666  0.2424
O  0.9062  0.6691  0.3043
O  0.4586  0.1000  0.1748
O  0.7119  0.9339  0.5971
O  0.5278  0.5376  0.6684
O  0.7881  0.4339  0.0971
O  0.3428  0.6878  0.3422
O  0.9722  0.0376  0.1684
O  0.0866  0.8550  0.2837
O  0.2582  0.5632  0.4935
O  0.2091  0.4756  0.2546
O  0.6572  0.3122  0.6578
P  0.1094  0.6753  0.9767
P  0.5247  0.2467  0.7223
P  0.4075  0.8524  0.7421
P  0.9075  0.6476  0.7579
P  0.3906  0.1753  0.4767
P  0.5925  0.1476  0.2579
P  0.4753  0.7533  0.2777
P  0.0925  0.3524  0.2421
P  0.1708  0.0404  0.8658
P  0.3292  0.5404  0.3658
P  0.0247  0.2533  0.7777
P  0.9753  0.7467  0.2223
P  0.6708  0.4596  0.6342
P  0.8292  0.9596  0.1342
P  0.6094  0.8247  0.5233
P  0.8906  0.3247  0.0233
Rb  0.9349  0.1961  0.4577
Rb  0.5651  0.6961  0.9577
Rb  0.4349  0.3039  0.0423
Rb  0.0651  0.8039  0.5423
Tb  0.2728  0.4986  0.6840
Tb  0.2272  0.9986  0.1840
Tb  0.7728  0.0014  0.8160
Tb  0.7272  0.5014  0.3160

***

A PBEsol-optimized structure of RbTcPO2. Source: the Alexandria database, functional meta-GGA SCAN.

M_tot	3.510	Bohr magnetons per cell
calculated volume	19.12	A^3/atom
formation energy from raw total energies	1.5419	eV per atom

a b c (Å): 3.9507 3.9507 6.1265
angles (deg): 90.00 90.00 90.00
Last column: magnetic moment on the atom in μB.
Sites, in units of the cell vectors:
Rb  0.0000  0.0000  0.0000  -0.03
Tc  0.5000  0.5000  0.5000  3.77
O  0.5000  0.0000  0.0000  0.03
O  0.0000  0.5000  0.0000  0.03
P  0.0000  0.0000  0.5000  -0.31

***

A PBEsol-optimized structure of RbTeP2O. Source: the Alexandria database, functional meta-GGA SCAN.

M_tot	2.370	Bohr magnetons per cell
calculated volume	23.47	A^3/atom
formation energy from raw total energies	0.2182	eV per atom

a b c (Å): 4.1532 5.3159 5.3159
angles (deg): 90.00 90.00 90.00
Last column: magnetic moment on the atom in μB.
Sites, in units of the cell vectors:
Rb  0.5000  0.5000  0.5000  0.03
P  0.0000  0.5000  0.0000  0.49
P  0.0000  0.0000  0.5000  0.49
Te  0.0000  0.0000  0.0000  -0.01
O  0.5000  0.0000  0.0000  0.14

***

A PBEsol-optimized structure of RbTh2P3O12. Source: the Alexandria database, functional meta-GGA SCAN.

M_tot	0.000	Bohr magnetons per cell
calculated volume	13.49	A^3/atom
formation energy from raw total energies	-3.1788	eV per atom

a b c (Å): 6.8891 8.1217 9.5280
angles (deg): 101.52 111.19 90.00
Sites, in units of the cell vectors:
O  0.4479  0.6276  0.5916
O  0.8267  0.6703  0.5539
O  0.5521  0.3724  0.4084
O  0.1919  0.0886  0.9464
O  0.1733  0.3297  0.4461
O  0.6011  0.9309  0.6905
O  0.5474  0.6525  0.2882
O  0.7545  0.5886  0.9464
O  0.2592  0.8475  0.7118
O  0.3989  0.0691  0.3095
O  0.7271  0.1703  0.5539
O  0.9574  0.7556  0.8558
O  0.9107  0.5691  0.3095
O  0.2729  0.8297  0.4461
O  0.7408  0.1525  0.2882
O  0.1016  0.7444  0.1442
O  0.8563  0.8724  0.4084
O  0.0893  0.4309  0.6905
O  0.4526  0.3475  0.7118
O  0.0426  0.2444  0.1442
O  0.8081  0.9114  0.0536
O  0.2455  0.4114  0.0536
O  0.8984  0.2556  0.8558
O  0.1437  0.1276  0.5916
Rb  0.4032  0.7500  0.0000
Rb  0.5968  0.2500  0.0000
Th  0.9395  0.9673  0.6916
Th  0.2478  0.5327  0.3084
Th  0.7522  0.4673  0.6916
Th  0.0605  0.0327  0.3084
P  0.2185  0.3173  0.6166
P  0.9024  0.7500  0.0000
P  0.0976  0.2500  0.0000
P  0.6019  0.1827  0.3834
P  0.3981  0.8173  0.6166
P  0.7815  0.6827  0.3834

***

A PBEsol-optimized structure of RbTiP2O7. Source: the Alexandria database, functional meta-GGA SCAN.

M_tot	4.000	Bohr magnetons per cell
calculated volume	14.05	A^3/atom
formation energy from raw total energies	-2.7278	eV per atom

a b c (Å): 7.5432 8.3220 10.2351
angles (deg): 90.00 90.00 105.80
Last column: magnetic moment on the atom in μB.
Sites, in units of the cell vectors:
O  0.1501  0.5151  0.9111  -0.01
O  0.1501  0.0151  0.5889  -0.01
O  0.5540  0.2637  0.2202  0.00
O  0.3323  0.8068  0.5584  0.00
O  0.0023  0.2734  0.5020  0.00
O  0.4460  0.2363  0.7202  0.00
O  0.3323  0.3068  0.9416  0.00
O  0.9977  0.7266  0.4980  0.00
O  0.9154  0.2398  0.2651  0.00
O  0.0846  0.7602  0.7349  0.00
O  0.6677  0.6932  0.0584  0.00
O  0.8499  0.4849  0.0889  -0.01
O  0.0023  0.7734  0.9980  0.00
O  0.3230  0.0097  0.8931  -0.01
O  0.6300  0.7299  0.5772  0.00
O  0.3700  0.7701  0.0772  0.00
O  0.3230  0.5097  0.6069  -0.01
O  0.9154  0.7398  0.2349  0.00
O  0.6770  0.4903  0.3931  -0.01
O  0.6300  0.2299  0.9228  0.00
O  0.4460  0.7363  0.7798  0.00
O  0.6770  0.9903  0.1069  -0.01
O  0.6677  0.1932  0.4416  0.00
O  0.3700  0.2701  0.4228  0.00
O  0.5540  0.7637  0.2798  0.00
O  0.9977  0.2266  0.0020  0.00
O  0.0846  0.2602  0.7651  0.00
O  0.8499  0.9849  0.4111  -0.01
P  0.5630  0.3121  0.3647  0.01
P  0.8675  0.6700  0.0970  0.00
P  0.8675  0.1700  0.4030  0.00
P  0.4370  0.1879  0.8647  0.01
P  0.5630  0.8121  0.1353  0.01
P  0.1325  0.3300  0.9030  0.00
P  0.4370  0.6879  0.6353  0.01
P  0.1325  0.8300  0.5970  0.00
Rb  0.8149  0.4465  0.6814  0.00
Rb  0.1851  0.5535  0.3186  0.00
Rb  0.8149  0.9465  0.8186  0.00
Rb  0.1851  0.0535  0.1814  0.00
Ti  0.2370  0.7601  0.9002  0.92
Ti  0.7630  0.7399  0.4002  0.92
Ti  0.7630  0.2399  0.0998  0.92
Ti  0.2370  0.2601  0.5998  0.92

***

A PBEsol-optimized structure of Rb2Ti2P3O12. Source: the Alexandria database, functional meta-GGA SCAN.

M_tot	4.002	Bohr magnetons per cell
calculated volume	13.06	A^3/atom
formation energy from raw total energies	-2.8144	eV per atom

a b c (Å): 9.9748 9.9748 9.9748
angles (deg): 90.00 90.00 90.00
Last column: magnetic moment on the atom in μB.
Sites, in units of the cell vectors:
O  0.2275  0.5085  0.9462  -0.01
O  0.5471  0.7070  0.7693  -0.01
O  0.9462  0.2275  0.5085  -0.01
O  0.7725  0.0085  0.5538  -0.01
O  0.3309  0.7482  0.8962  -0.01
O  0.2307  0.0471  0.7930  -0.01
O  0.2693  0.9529  0.2930  -0.01
O  0.9529  0.2930  0.2693  -0.01
O  0.7482  0.8962  0.3309  -0.01
O  0.4462  0.2725  0.4915  -0.01
O  0.8313  0.4831  0.9421  -0.01
O  0.1691  0.2518  0.3962  -0.01
O  0.5169  0.4421  0.6687  -0.01
O  0.0169  0.0579  0.3313  -0.01
O  0.1038  0.8309  0.7518  -0.01
O  0.7275  0.9915  0.0538  -0.01
O  0.2070  0.7307  0.4529  -0.01
O  0.7693  0.5471  0.7070  -0.01
O  0.4915  0.4462  0.2725  -0.01
O  0.2518  0.3962  0.1691  -0.01
O  0.5538  0.7725  0.0085  -0.01
O  0.7518  0.1038  0.8309  -0.01
O  0.4529  0.2070  0.7307  -0.01
O  0.2725  0.4915  0.4462  -0.01
O  0.4421  0.6687  0.5169  -0.01
O  0.4831  0.9421  0.8313  -0.01
O  0.9915  0.0538  0.7275  -0.01
O  0.0471  0.7930  0.2307  -0.01
O  0.5579  0.1687  0.9831  -0.01
O  0.0085  0.5538  0.7725  -0.01
O  0.0538  0.7275  0.9915  -0.01
O  0.7930  0.2307  0.0471  -0.01
O  0.9421  0.8313  0.4831  -0.01
O  0.1687  0.9831  0.5579  -0.01
O  0.2482  0.6038  0.6691  -0.01
O  0.8962  0.3309  0.7482  -0.01
O  0.5085  0.9462  0.2275  -0.01
O  0.0579  0.3313  0.0169  -0.01
O  0.9831  0.5579  0.1687  -0.01
O  0.7070  0.7693  0.5471  -0.01
O  0.2930  0.2693  0.9529  -0.01
O  0.6687  0.5169  0.4421  -0.01
O  0.8309  0.7518  0.1038  -0.01
O  0.6038  0.6691  0.2482  -0.01
O  0.3313  0.0169  0.0579  -0.01
O  0.3962  0.1691  0.2518  -0.01
O  0.7307  0.4529  0.2070  -0.01
O  0.6691  0.2482  0.6038  -0.01
Ti  0.1084  0.8916  0.3916  0.49
Ti  0.3370  0.3370  0.3370  0.48
Ti  0.8370  0.1630  0.6630  0.48
Ti  0.8916  0.3916  0.1084  0.49
Ti  0.6084  0.6084  0.6084  0.49
Ti  0.3916  0.1084  0.8916  0.49
Ti  0.6630  0.8370  0.1630  0.48
Ti  0.1630  0.6630  0.8370  0.48
P  0.1241  0.9766  0.7059  0.01
P  0.3759  0.0234  0.2059  0.01
P  0.7059  0.1241  0.9766  0.01
P  0.6241  0.5234  0.2941  0.01
P  0.2059  0.3759  0.0234  0.01
P  0.8759  0.4766  0.7941  0.01
P  0.0234  0.2059  0.3759  0.01
P  0.7941  0.8759  0.4766  0.01
P  0.5234  0.2941  0.6241  0.01
P  0.2941  0.6241  0.5234  0.01
P  0.9766  0.7059  0.1241  0.01
P  0.4766  0.7941  0.8759  0.01
Rb  0.4587  0.9587  0.5413  0.00
Rb  0.8193  0.8193  0.8193  0.00
Rb  0.5413  0.4587  0.9587  0.00
Rb  0.1807  0.3193  0.6807  0.00
Rb  0.9587  0.5413  0.4587  0.00
Rb  0.6807  0.1807  0.3193  0.00
Rb  0.0413  0.0413  0.0413  0.00
Rb  0.3193  0.6807  0.1807  0.00

***

Please write out number 4 again, unchanged.
A PBEsol-optimized structure of RbTcPO2. Source: the Alexandria database, functional meta-GGA SCAN.

M_tot	3.510	Bohr magnetons per cell
calculated volume	19.12	A^3/atom
formation energy from raw total energies	1.5419	eV per atom

a b c (Å): 3.9507 3.9507 6.1265
angles (deg): 90.00 90.00 90.00
Last column: magnetic moment on the atom in μB.
Sites, in units of the cell vectors:
Rb  0.0000  0.0000  0.0000  -0.03
Tc  0.5000  0.5000  0.5000  3.77
O  0.5000  0.0000  0.0000  0.03
O  0.0000  0.5000  0.0000  0.03
P  0.0000  0.0000  0.5000  -0.31